Entry 1:
Entry from the Alexandria database: a relaxed KSnMo2N crystal (PBE-GGA).

abc: 5.4235 5.4235 4.5173
angles: 90.00 90.00 90.00
Space group P4/mmm (No. 123)
Unique sites:
K (0.0000, 0.0000, 0.0000) [1 per cell]
Sn (0.5000, 0.5000, 0.5000) [1 per cell]
Mo (0.0000, 0.5000, 0.5000) [2 per cell]
N (0.5000, 0.5000, 0.0000) [1 per cell]

Output
- Total moment: 7.00 μB per cell
- Formation energy (no corrections): 2.133 eV/atom

---

Entry 2:
Entry from the Alexandria database: a relaxed KSrMoN3 crystal (PBE-GGA).

abc: 13.6713 3.8915 9.0234
angles: 90.00 107.14 90.00
Space group C2/m (No. 12)
Unique sites:
K (0.1302, 0.0000, 0.0390) [4 per cell]
Sr (0.1833, 0.0000, 0.6472) [4 per cell]
Mo (0.0083, 0.5000, 0.3368) [4 per cell]
N (0.0141, 0.0000, 0.4296) [4 per cell]
N (0.1204, 0.5000, 0.2674) [4 per cell]
N (0.1255, 0.5000, 0.7933) [4 per cell]

Output
- Total moment: 0.00 μB per cell
- Formation energy (no corrections): -0.377 eV/atom

---

Entry 3:
Entry from the Alexandria database: a relaxed KTaMoN4 crystal (PBE-GGA).

abc: 5.7583 5.9057 7.0843
angles: 90.00 101.87 90.00
Space group P2_1/m (No. 11)
Unique sites:
K (0.1432, 0.2500, 0.0882) [2 per cell]
Ta (0.1287, 0.7500, 0.4555) [2 per cell]
Mo (0.4058, 0.2500, 0.6416) [2 per cell]
N (0.1627, 0.0229, 0.6467) [4 per cell]
N (0.2720, 0.7500, 0.2212) [2 per cell]
N (0.4804, 0.2500, 0.4123) [2 per cell]

Output
- Total moment: 0.00 μB per cell
- Formation energy (no corrections): -0.486 eV/atom

---

Entry 4:
Entry from the Alexandria database: a relaxed KTcMoN3 crystal (PBE-GGA).

abc: 5.5819 10.2018 5.6759
angles: 90.00 100.13 90.00
Space group C2/c (No. 15)
Unique sites:
K (0.0000, 0.2463, 0.2500) [4 per cell]
Tc (0.0000, 0.0697, 0.7500) [4 per cell]
Mo (0.0000, 0.4393, 0.7500) [4 per cell]
N (0.0000, 0.2559, 0.7500) [4 per cell]
N (0.2436, 0.0250, 0.4969) [8 per cell]

Output
- Total moment: 1.28 μB per cell
- Formation energy (no corrections): -0.090 eV/atom

---

Entry 5:
Entry from the Alexandria database: a relaxed KTe2MoN crystal (PBE-GGA).

abc: 5.6754 5.6754 3.8568
angles: 90.00 90.00 90.00
Space group P4/mmm (No. 123)
Unique sites:
K (0.0000, 0.0000, 0.0000) [1 per cell]
Te (0.0000, 0.5000, 0.5000) [2 per cell]
Mo (0.5000, 0.5000, 0.5000) [1 per cell]
N (0.5000, 0.5000, 0.0000) [1 per cell]

Output
- Energy relative to the lowest polymorph listed for this composition: 0.000 eV per atom
- Total moment: 0.00 μB per cell
- Formation energy (no corrections): -0.068 eV/atom

---

Entry 6:
Entry from the Alexandria database: a relaxed KTeMoN2 crystal (PBE-GGA).

abc: 4.1468 4.1468 5.5575
angles: 90.00 90.00 90.00
Space group P4/mmm (No. 123)
Unique sites:
K (0.0000, 0.0000, 0.0000) [1 per cell]
Te (0.5000, 0.5000, 0.0000) [1 per cell]
Mo (0.5000, 0.5000, 0.5000) [1 per cell]
N (0.0000, 0.5000, 0.5000) [2 per cell]

Output
- Energy relative to the lowest polymorph listed for this composition: 0.000 eV per atom
- Total moment: 1.07 μB per cell
- Formation energy (no corrections): 0.416 eV/atom